#A
DFT (PBE) results for a relaxed structure of KSbTe2C.

Unit cell a=5.383 b=5.383 c=4.614 alpha=90.00 beta=90.00 gamma=90.00
Atoms (fractional coordinates):
1 K 0.000 0.000 0.000
2 Sb 0.500 0.500 0.000
3 Te 0.000 0.500 0.500
4 Te 0.500 0.000 0.500
5 C 0.500 0.500 0.500

Output
Space group: P4/mmm
Crystal system: tetragonal

=====

#B
DFT (PBE) results for a relaxed structure of KSbTe2C.

Unit cell a=6.470 b=6.470 c=6.387 alpha=90.00 beta=90.00 gamma=90.00
Atoms (fractional coordinates):
1 K 0.000 0.000 0.000
2 Sb 0.000 0.000 0.500
3 Te 0.000 0.500 0.000
4 Te 0.500 0.000 0.000
5 C 0.500 0.500 0.500

Output
Space group: P4/mmm
Crystal system: tetragonal

=====

Most stable structure: #A

=====

#A
DFT (PBE) results for a relaxed structure of K2Sc2C.

Unit cell a=6.423 b=6.423 c=6.925 alpha=90.00 beta=90.00 gamma=90.00
Atoms (fractional coordinates):
1 K 0.199 0.301 0.000
2 K 0.301 0.801 0.000
3 K 0.699 0.199 0.000
4 K 0.801 0.699 0.000
5 Sc 0.214 0.714 0.500
6 Sc 0.286 0.214 0.500
7 Sc 0.714 0.786 0.500
8 Sc 0.786 0.286 0.500
9 C 0.000 0.000 0.500
10 C 0.500 0.500 0.500

Output
Space group: P4/mbm
Crystal system: tetragonal

=====

#B
DFT (PBE) results for a relaxed structure of K2Sc2C.

Unit cell a=9.718 b=9.718 c=9.718 alpha=158.61 beta=158.61 gamma=30.43
Atoms (fractional coordinates):
1 K 0.250 0.750 0.500
2 K 0.750 0.250 0.500
3 Sc 0.066 0.066 0.000
4 Sc 0.934 0.934 0.000
5 C 0.500 0.500 0.000

Output
Space group: I4/mmm
Crystal system: tetragonal

=====

Most stable structure: #A

=====

#A
DFT (PBE) results for a relaxed structure of K3ScC.

Unit cell a=6.794 b=6.794 c=6.794 alpha=90.00 beta=90.00 gamma=90.00
Atoms (fractional coordinates):
1 K 0.000 0.000 0.500
2 K 0.000 0.500 0.000
3 K 0.500 0.000 0.000
4 Sc 0.000 0.000 0.000
5 C 0.500 0.500 0.500

Output
Space group: Pm-3m
Crystal system: cubic

=====

#B
DFT (PBE) results for a relaxed structure of K3ScC.

Unit cell a=5.859 b=5.859 c=5.859 alpha=90.00 beta=90.00 gamma=90.00
Atoms (fractional coordinates):
1 K 0.000 0.000 0.500
2 K 0.000 0.500 0.000
3 K 0.500 0.000 0.000
4 Sc 0.500 0.500 0.500
5 C 0.000 0.000 0.000

Output
Space group: Pm-3m
Crystal system: cubic

=====

Most stable structure: #B

=====

#A
DFT (PBE) results for a relaxed structure of K2C2Se.

Unit cell a=5.177 b=5.177 c=5.177 alpha=109.42 beta=109.42 gamma=109.58
Atoms (fractional coordinates):
1 K 0.250 0.750 0.500
2 K 0.750 0.250 0.500
3 C 0.106 0.106 0.000
4 C 0.894 0.894 0.000
5 Se 0.500 0.500 0.000

Output
Space group: I4/mmm
Crystal system: tetragonal

=====

#B
DFT (PBE) results for a relaxed structure of K2C2Se.

Unit cell a=7.015 b=7.015 c=4.415 alpha=90.00 beta=90.00 gamma=90.00
Atoms (fractional coordinates):
1 K 0.215 0.285 0.000
2 K 0.285 0.785 0.000
3 K 0.715 0.215 0.000
4 K 0.785 0.715 0.000
5 C 0.065 0.565 0.500
6 C 0.435 0.065 0.500
7 C 0.565 0.935 0.500
8 C 0.935 0.435 0.500
9 Se 0.000 0.000 0.500
10 Se 0.500 0.500 0.500

Output
Space group: P4/mbm
Crystal system: tetragonal

=====

Most stable structure: #A

=====

#A
DFT (PBE) results for a relaxed structure of KSiC3.

Unit cell a=3.921 b=3.921 c=3.921 alpha=90.00 beta=90.00 gamma=90.00
Atoms (fractional coordinates):
1 K 0.000 0.000 0.000
2 Si 0.500 0.500 0.500
3 C 0.000 0.500 0.500
4 C 0.500 0.000 0.500
5 C 0.500 0.500 0.000

Output
Space group: Pm-3m
Crystal system: cubic

=====

#B
DFT (PBE) results for a relaxed structure of KSiC3.

Unit cell a=4.629 b=4.629 c=4.629 alpha=90.00 beta=90.00 gamma=90.00
Atoms (fractional coordinates):
1 K 0.000 0.000 0.000
2 Si 0.500 0.500 0.500
3 C 0.000 0.000 0.500
4 C 0.000 0.500 0.000
5 C 0.500 0.000 0.000

Output
Space group: Pm-3m
Crystal system: cubic

=====

Most stable structure: #A

=====

#A
DFT (PBE) results for a relaxed structure of KSn3C.

Unit cell a=5.982 b=5.982 c=5.982 alpha=90.00 beta=90.00 gamma=90.00
Atoms (fractional coordinates):
1 K 0.000 0.000 0.000
2 Sn 0.000 0.000 0.500
3 Sn 0.000 0.500 0.000
4 Sn 0.500 0.000 0.000
5 C 0.500 0.500 0.500

Output
Space group: Pm-3m
Crystal system: cubic

=====

#B
DFT (PBE) results for a relaxed structure of KSn3C.

Unit cell a=5.055 b=5.055 c=5.055 alpha=90.00 beta=90.00 gamma=90.00
Atoms (fractional coordinates):
1 K 0.000 0.000 0.000
2 Sn 0.000 0.500 0.500
3 Sn 0.500 0.000 0.500
4 Sn 0.500 0.500 0.000
5 C 0.500 0.500 0.500

Output
Space group: Pm-3m
Crystal system: cubic

=====

Most stable structure: #B

=====

#A
DFT (PBE) results for a relaxed structure of KSrC2.

Unit cell a=9.447 b=9.447 c=9.447 alpha=150.24 beta=150.24 gamma=42.59
Atoms (fractional coordinates):
1 K 0.375 0.625 0.750
2 K 0.625 0.375 0.250
3 Sr 0.125 0.875 0.250
4 Sr 0.875 0.125 0.750
5 C 0.000 0.000 0.000
6 C 0.000 0.000 0.500
7 C 0.000 0.500 0.000
8 C 0.500 0.000 0.500

Output
Space group: I4_1/amd
Crystal system: tetragonal

=====

#B
DFT (PBE) results for a relaxed structure of KSrC2.

Unit cell a=4.768 b=4.768 c=4.768 alpha=60.00 beta=60.00 gamma=60.00
Atoms (fractional coordinates):
1 K 0.000 0.000 0.000
2 Sr 0.500 0.500 0.500
3 C 0.250 0.250 0.250
4 C 0.750 0.750 0.750

Output
Space group: Fm-3m
Crystal system: cubic

=====

Most stable structure: #B